(1)
The following is a DFT calculation (PBE) of an optimized crystal structure of Pr4ZnGa3.

Output
- DOS at the Fermi energy (states/eV per cell) = 15.418
- ΔH_f (0 K) (eV per atom) = -0.486
- M_tot (μB per formula unit) = 0.0
- symmetry = Pmma
- DFT total energy (eV/f.u.) = -33.36

Cell: 10.5306 7.4658 5.2668 Å, 90.00 90.00 90.00°
Sites, in units of the cell vectors:
1 Pr 0.0000 0.2484 0.0000
2 Pr 0.0000 0.7516 0.0000
3 Pr 0.2500 0.2484 0.4989
4 Pr 0.2500 0.7516 0.4989
5 Pr 0.5000 0.2484 0.0000
6 Pr 0.5000 0.7516 0.0000
7 Pr 0.7500 0.2484 0.5011
8 Pr 0.7500 0.7516 0.5011
9 Zn 0.0000 0.0000 0.5000
10 Zn 0.5000 0.0000 0.5000
11 Ga 0.0000 0.5000 0.5000
12 Ga 0.2500 0.0000 0.9986
13 Ga 0.2500 0.5000 0.9983
14 Ga 0.5000 0.5000 0.5000
15 Ga 0.7500 0.0000 0.0014
16 Ga 0.7500 0.5000 0.0017



(2)
The following is a DFT calculation (PBE) of an optimized crystal structure of SmHo12Tm6.

Output
- DOS at the Fermi energy (states/eV per cell) = 25.045
- ΔH_f (0 K) (eV per atom) = 0.442
- M_tot (μB per formula unit) = 0.0
- symmetry = R-3m
- DFT total energy (eV/f.u.) = -78.08

Cell: 9.2167 9.2167 9.2167 Å, 107.64 107.64 107.64°
Sites, in units of the cell vectors:
1 Sm 0.0000 0.0000 0.0000
2 Ho 0.1112 0.5000 0.8888
3 Ho 0.1112 0.8888 0.5000
4 Ho 0.1435 0.3639 0.3639
5 Ho 0.3639 0.1435 0.3639
6 Ho 0.3639 0.3639 0.1435
7 Ho 0.5000 0.1112 0.8888
8 Ho 0.5000 0.8888 0.1112
9 Ho 0.6361 0.6361 0.8565
10 Ho 0.6361 0.8565 0.6361
11 Ho 0.8565 0.6361 0.6361
12 Ho 0.8888 0.1112 0.5000
13 Ho 0.8888 0.5000 0.1112
14 Tm 0.2696 0.6880 0.6880
15 Tm 0.3120 0.3120 0.7304
16 Tm 0.3120 0.7304 0.3120
17 Tm 0.6880 0.2696 0.6880
18 Tm 0.6880 0.6880 0.2696
19 Tm 0.7304 0.3120 0.3120



(3)
The following is a DFT calculation (PBE) of an optimized crystal structure of CaCe2Co.

Output
- DOS at the Fermi energy (states/eV per cell) = 10.310
- ΔH_f (0 K) (eV per atom) = 0.094
- M_tot (μB per formula unit) = 1.3
- symmetry = R-3m
- DFT total energy (eV/f.u.) = -20.60

Cell: 10.4826 10.4826 10.4826 Å, 20.34 20.34 20.34°
Sites, in units of the cell vectors:
1 Ca 0.0000 0.0000 0.0000
2 Ce 0.1155 0.1155 0.1155
3 Ce 0.8845 0.8845 0.8845
4 Co 0.5000 0.5000 0.5000



(4)
The following is a DFT calculation (PBE) of an optimized crystal structure of BaCd6In2.

Output
- DOS at the Fermi energy (states/eV per cell) = 4.096
- ΔH_f (0 K) (eV per atom) = -0.159
- M_tot (μB per formula unit) = 0.0
- symmetry = P4/mmm
- DFT total energy (eV/f.u.) = -14.32

Cell: 4.7547 4.7547 10.4966 Å, 90.00 90.00 90.00°
Sites, in units of the cell vectors:
1 Ba 0.0000 0.0000 0.0000
2 Cd 0.0000 0.0000 0.5000
3 Cd 0.0000 0.5000 0.3066
4 Cd 0.0000 0.5000 0.6934
5 Cd 0.5000 0.0000 0.3066
6 Cd 0.5000 0.0000 0.6934
7 Cd 0.5000 0.5000 0.5000
8 In 0.5000 0.5000 0.1399
9 In 0.5000 0.5000 0.8601



(5)
The following is a DFT calculation (PBE) of an optimized crystal structure of VNiAu.

Output
- DOS at the Fermi energy (states/eV per cell) = 4.085
- ΔH_f (0 K) (eV per atom) = -0.009
- M_tot (μB per formula unit) = 0.0
- symmetry = Amm2
- DFT total energy (eV/f.u.) = -18.20

Cell: 4.3316 4.7222 4.7222 Å, 119.41 90.00 90.00°
Sites, in units of the cell vectors:
1 V 0.0000 0.0000 0.0000
2 V 0.5000 0.3512 0.3512
3 Ni 0.0000 0.3310 0.6454
4 Ni 0.0000 0.6454 0.3310
5 Au 0.5000 0.0115 0.6728
6 Au 0.5000 0.6728 0.0115



(6)
The following is a DFT calculation (PBE) of an optimized crystal structure of BaSr6Au3.

Output
- DOS at the Fermi energy (states/eV per cell) = 15.816
- ΔH_f (0 K) (eV per atom) = -0.463
- M_tot (μB per formula unit) = 0.0
- symmetry = P2_1/m
- DFT total energy (eV/f.u.) = -26.48

Cell: 13.0785 4.6842 15.3472 Å, 90.00 114.96 90.00°
Sites, in units of the cell vectors:
1 Ba 0.1813 0.2500 0.0801
2 Ba 0.8187 0.7500 0.9199
3 Sr 0.0677 0.7500 0.8041
4 Sr 0.1111 0.2500 0.4851
5 Sr 0.2269 0.7500 0.3389
6 Sr 0.3145 0.2500 0.7568
7 Sr 0.3888 0.7500 0.0063
8 Sr 0.4843 0.7500 0.6253
9 Sr 0.5157 0.2500 0.3747
10 Sr 0.6112 0.2500 0.9937
11 Sr 0.6855 0.7500 0.2432
12 Sr 0.7731 0.2500 0.6611
13 Sr 0.8889 0.7500 0.5149
14 Sr 0.9323 0.2500 0.1959
15 Au 0.0294 0.2500 0.6561
16 Au 0.3501 0.2500 0.4856
17 Au 0.4990 0.7500 0.8476
18 Au 0.5010 0.2500 0.1524
19 Au 0.6499 0.7500 0.5144
20 Au 0.9706 0.7500 0.3439



What did the second record say?
The following is a DFT calculation (PBE) of an optimized crystal structure of SmHo12Tm6.

Output
- DOS at the Fermi energy (states/eV per cell) = 25.045
- ΔH_f (0 K) (eV per atom) = 0.442
- M_tot (μB per formula unit) = 0.0
- symmetry = R-3m
- DFT total energy (eV/f.u.) = -78.08

Cell: 9.2167 9.2167 9.2167 Å, 107.64 107.64 107.64°
Sites, in units of the cell vectors:
1 Sm 0.0000 0.0000 0.0000
2 Ho 0.1112 0.5000 0.8888
3 Ho 0.1112 0.8888 0.5000
4 Ho 0.1435 0.3639 0.3639
5 Ho 0.3639 0.1435 0.3639
6 Ho 0.3639 0.3639 0.1435
7 Ho 0.5000 0.1112 0.8888
8 Ho 0.5000 0.8888 0.1112
9 Ho 0.6361 0.6361 0.8565
10 Ho 0.6361 0.8565 0.6361
11 Ho 0.8565 0.6361 0.6361
12 Ho 0.8888 0.1112 0.5000
13 Ho 0.8888 0.5000 0.1112
14 Tm 0.2696 0.6880 0.6880
15 Tm 0.3120 0.3120 0.7304
16 Tm 0.3120 0.7304 0.3120
17 Tm 0.6880 0.2696 0.6880
18 Tm 0.6880 0.6880 0.2696
19 Tm 0.7304 0.3120 0.3120



Copy entry 3 word for word.
The following is a DFT calculation (PBE) of an optimized crystal structure of CaCe2Co.

Output
- DOS at the Fermi energy (states/eV per cell) = 10.310
- ΔH_f (0 K) (eV per atom) = 0.094
- M_tot (μB per formula unit) = 1.3
- symmetry = R-3m
- DFT total energy (eV/f.u.) = -20.60

Cell: 10.4826 10.4826 10.4826 Å, 20.34 20.34 20.34°
Sites, in units of the cell vectors:
1 Ca 0.0000 0.0000 0.0000
2 Ce 0.1155 0.1155 0.1155
3 Ce 0.8845 0.8845 0.8845
4 Co 0.5000 0.5000 0.5000